This record from the Alexandria database describes a relaxed Y2Tm6Tl crystal. The functional is PBE-GGA.

Cell lengths 3.453, 10.069, 15.692 Å; angles 90.00, 90.00, 90.00 degrees
Space group Immm (No. 71)
Symmetry-distinct sites (fractional):
1 Y 0.000 0.000 0.154 x4
2 Tm 0.000 0.303 0.500 x4
3 Tm 0.000 0.337 0.177 x8
4 Tl 0.000 0.500 0.000 x2

Summary:
Energy of formation in meV per atom: 9.7
E_tot in eV per atom: -4.67
Spin magnetization in μB per formula unit: 0.00